[1]
This record from the Alexandria database describes an optimized crystal structure of Sr2Zn5Hg. The functional is PBE.

The energy of formation from the pure elements comes out at -0.27 eV per atom. The crystal system is orthorhombic. The calculation puts the raw total energy at -48.78 eV for the cell shown.

The structure belongs to space group Cmcm (No. 63); the cell edges are 4.576, 17.115 and 9.426 Å and the angles 90.00°, 90.00° and 90.00°. Symmetry generates all atoms from Sr at (0.000, 0.000, 0.000), Sr at (0.000, 0.201, 0.250), Zn at (0.000, 0.185, 0.612), Zn at (0.000, 0.342, 0.512), Zn at (0.000, 0.394, 0.250) and Hg at (0.000, 0.444, 0.750).


[2]
This record from the Alexandria database describes an optimized crystal structure of SrZnHg4. The functional is PBE.

The energy of formation from the pure elements comes out at -0.11 eV per atom. The value obtained for the energy relative to the lowest polymorph listed for this composition is 126 meV per atom. The crystal system is cubic. The calculation puts the raw total energy at -19.27 eV for the cell shown.

The structure belongs to space group F-43m (No. 216); the cell edges are 8.690, 8.690 and 8.690 Å and the angles 90.00°, 90.00° and 90.00°. Symmetry generates all atoms from Sr at (0.000, 0.000, 0.000), Zn at (0.250, 0.250, 0.750) and Hg at (0.124, 0.124, 0.376).


[3]
This record from the Alexandria database describes an optimized crystal structure of SrZnHg. The functional is PBE.

The energy of formation from the pure elements comes out at -0.39 eV per atom. The crystal system is hexagonal. The calculation puts the raw total energy at -4.42 eV for the cell shown.

The structure belongs to space group P-6m2 (No. 187); the cell edges are 4.8014, 4.8014 and 4.1293 Å and the angles 90.00°, 90.00° and 120.00°. Symmetry generates all atoms from Sr at (0.0000, 0.0000, 0.0000), Zn at (0.3333, 0.6667, 0.5000) and Hg at (0.6667, 0.3333, 0.5000).


[4]
This record from the Alexandria database describes an optimized crystal structure of Sr3ZnHg2. The functional is PBE.

The energy of formation from the pure elements comes out at -0.41 eV per atom. The value obtained for the energy relative to the lowest polymorph listed for this composition is 4 meV per atom. The crystal system is tetragonal. The calculation puts the raw total energy at -9.40 eV for the cell shown.

The structure belongs to space group P4/mmm (No. 123); the cell edges are 3.987, 3.987 and 11.841 Å and the angles 90.00°, 90.00° and 90.00°. Symmetry generates all atoms from Sr at (0.000, 0.000, 0.000), Sr at (0.000, 0.000, 0.338), Zn at (0.500, 0.500, 0.500) and Hg at (0.500, 0.500, 0.170).


[5]
This record from the Alexandria database describes an optimized crystal structure of Sr5Zn4Hg. The functional is PBE.

The energy of formation from the pure elements comes out at -0.25 eV per atom. The crystal system is tetragonal. The calculation puts the raw total energy at -16.30 eV for the cell shown.

The structure belongs to space group P4/mmm (No. 123); the cell edges are 3.924, 3.924 and 19.709 Å and the angles 90.00°, 90.00° and 90.00°. Symmetry generates all atoms from Sr at (0.000, 0.000, 0.000), Sr at (0.000, 0.000, 0.198), Sr at (0.000, 0.000, 0.396), Zn at (0.500, 0.500, 0.099), Zn at (0.500, 0.500, 0.296) and Hg at (0.500, 0.500, 0.500).


[6]
This record from the Alexandria database describes an optimized crystal structure of Sr6ZnHg. The functional is PBE.

The energy of formation from the pure elements comes out at -0.19 eV per atom. The crystal system is tetragonal. The calculation puts the raw total energy at -26.30 eV for the cell shown.

The structure belongs to space group I4/mmm (No. 139); the cell edges are 5.739, 5.739 and 20.612 Å and the angles 90.00°, 90.00° and 90.00°. Symmetry generates all atoms from Sr at (0.000, 0.000, 0.250), Sr at (0.000, 0.500, 0.092), Zn at (0.000, 0.000, 0.000) and Hg at (0.000, 0.000, 0.500).


[7]
This record from the Alexandria database describes an optimized crystal structure of Sr3Zn3Hg8. The functional is PBE.

The energy of formation from the pure elements comes out at -0.31 eV per atom. The crystal system is orthorhombic. The calculation puts the raw total energy at -31.17 eV for the cell shown.

The structure belongs to space group Immm (No. 71); the cell edges are 5.051, 9.735 and 14.561 Å and the angles 90.00°, 90.00° and 90.00°. Symmetry generates all atoms from Sr at (0.000, 0.000, 0.000), Sr at (0.000, 0.000, 0.281), Zn at (0.000, 0.140, 0.500), Zn at (0.000, 0.500, 0.000), Hg at (0.000, 0.306, 0.136) and Hg at (0.000, 0.349, 0.359).


[8]
This record from the Alexandria database describes an optimized crystal structure of Sr3Zn4Hg2. The functional is PBE.

The energy of formation from the pure elements comes out at -0.34 eV per atom. The crystal system is monoclinic. The calculation puts the raw total energy at -27.53 eV for the cell shown.

The structure belongs to space group C2/m (No. 12); the cell edges are 11.759, 4.693 and 9.231 Å and the angles 90.00°, 107.86° and 90.00°. Symmetry generates all atoms from Sr at (0.000, 0.000, 0.000), Sr at (0.167, 0.500, 0.669), Zn at (0.053, 0.000, 0.395), Zn at (0.226, 0.500, 0.049) and Hg at (0.113, 0.500, 0.277).


[9]
This record from the Alexandria database describes an optimized crystal structure of SrZnHg4. The functional is PBE.

The energy of formation from the pure elements comes out at -0.24 eV per atom. The value obtained for the energy relative to the lowest polymorph listed for this composition is 0 meV per atom. The crystal system is monoclinic. The calculation puts the raw total energy at -22.29 eV for the cell shown.

The structure belongs to space group C2/m (No. 12); the cell edges are 17.250, 7.562 and 5.121 Å and the angles 90.00°, 107.22° and 90.00°. Symmetry generates all atoms from Sr at (0.200, 0.000, 0.199), Zn at (0.000, 0.500, 0.258), Hg at (0.000, 0.182, 0.000), Hg at (0.123, 0.240, 0.622) and Hg at (0.170, 0.500, 0.169).


[10]
This record from the Alexandria database describes an optimized crystal structure of Sr3ZnHg2. The functional is PBE.

The energy of formation from the pure elements comes out at -0.42 eV per atom. The value obtained for the energy relative to the lowest polymorph listed for this composition is 0 meV per atom. The crystal system is orthorhombic. The calculation puts the raw total energy at -18.83 eV for the cell shown.

The structure belongs to space group Cmmm (No. 65); the cell edges are 5.637, 16.888 and 3.962 Å and the angles 90.00°, 90.00° and 90.00°. Symmetry generates all atoms from Sr at (0.000, 0.000, 0.000), Sr at (0.000, 0.335, 0.000), Zn at (0.000, 0.500, 0.500) and Hg at (0.000, 0.166, 0.500).


[11]
This record from the Alexandria database describes an optimized crystal structure of SrZn2Hg. The functional is PBE.

The energy of formation from the pure elements comes out at -0.14 eV per atom. The crystal system is tetragonal. The calculation puts the raw total energy at -5.07 eV for the cell shown.

The structure belongs to space group P4mm (No. 99); the cell edges are 3.717, 3.717 and 7.048 Å and the angles 90.00°, 90.00° and 90.00°. Symmetry generates all atoms from Sr at (0.000, 0.000, 0.000), Zn at (0.000, 0.000, 0.465), Zn at (0.500, 0.500, 0.299) and Hg at (0.500, 0.500, 0.698).


[12]
This record from the Alexandria database describes an optimized crystal structure of SrZn2Hg. The functional is PBE.

The energy of formation from the pure elements comes out at -0.17 eV per atom. The crystal system is orthorhombic. The calculation puts the raw total energy at -10.45 eV for the cell shown.

The structure belongs to space group Imm2 (No. 44); the cell edges are 4.420, 5.446 and 8.208 Å and the angles 90.00°, 90.00° and 90.00°. Symmetry generates all atoms from Sr at (0.000, 0.000, 0.000), Zn at (0.000, 0.000, 0.464), Zn at (0.000, 0.500, 0.790) and Hg at (0.000, 0.500, 0.210).


The highest energy of formation from the pure elements belongs to which entry?
number 2